Material: Si2NiAu
Method: DFT, PBE-GGA
State: relaxed

Lattice parameters (Å, degrees): 4.8062 4.8062 4.8062 136.91 129.57 68.45
With the nearest neighbours (Å) after each atom.
Positions (direct):
Au (0.4949, 0.4949, 0.0000)  8 Si 2.71-2.77, 4 Ni 2.76
Ni (0.2284, 0.7284, 0.5000)  6 Si 2.44-2.72
Si (0.0156, 0.0156, 0.0000)  2 Ni 2.44, 2 Si 2.68, 4 Au 2.71
Si (0.7611, 0.2611, 0.5000)  4 Si 2.68-2.83, 4 Ni 2.72, 4 Au 2.75-2.77

Uncorrected formation energy in eV per atom: 0.137
ρ in Mg/m³: 9.014
SG: No. 44

=====

Material: Ac2Pr3HoTe6
Method: DFT, PBE-GGA
State: relaxed

Lattice parameters (Å, degrees): 7.9158 7.9158 7.9069 99.61 99.61 120.04
With the nearest neighbours (Å) after each atom.
Positions (direct):
Ac (0.3353, 0.6647, 0.0000)  6 Te 3.29-3.33
Ac (0.6647, 0.3353, 0.0000)  6 Te 3.29-3.33
Pr (0.1801, 0.8199, 0.5000)  6 Te 3.19-3.26
Pr (0.8199, 0.1801, 0.5000)  6 Te 3.19-3.26
Pr (0.5000, 0.5000, 0.5000)  6 Te 3.19-3.31
Ho (0.0000, 0.0000, 0.0000)  6 Te 3.10-3.15
Te (0.9192, 0.6034, 0.7523)  1 Ho 3.10, 3 Pr 3.19-3.23, 2 Ac 3.29
Te (0.7734, 0.7734, 0.2612)  1 Ho 3.15, 3 Pr 3.26-3.31, 2 Ac 3.33
Te (0.0808, 0.3966, 0.2477)  1 Ho 3.10, 3 Pr 3.19-3.23, 2 Ac 3.29
Te (0.6034, 0.9192, 0.7523)  1 Ho 3.10, 3 Pr 3.19-3.23, 2 Ac 3.29
Te (0.2266, 0.2266, 0.7388)  1 Ho 3.15, 3 Pr 3.26-3.31, 2 Ac 3.33
Te (0.3966, 0.0808, 0.2477)  1 Ho 3.10, 3 Pr 3.19-3.23, 2 Ac 3.29

Uncorrected formation energy in eV per atom: -1.416
ρ in Mg/m³: 7.423
SG: No. 12

=====

Material: Tc2HgSe
Method: DFT, PBE-GGA
State: relaxed

Lattice parameters (Å, degrees): 5.3437 5.3437 2.9546 75.45 75.45 112.59
With the nearest neighbours (Å) after each atom.
Positions (direct):
Hg (0.5000, 0.0000, 0.5000)  4 Tc 2.71, 2 Hg 2.95, 2 Se 2.97
Se (0.0000, 0.5000, 0.5000)  4 Tc 2.71, 2 Se 2.95, 2 Hg 2.97
Tc (0.0000, 0.0000, 0.0000)  2 Hg 2.71, 2 Se 2.71, 4 Tc 2.95-2.97
Tc (0.5000, 0.5000, 0.0000)  2 Se 2.71, 2 Hg 2.71, 4 Tc 2.95-2.97

Uncorrected formation energy in eV per atom: 0.841
ρ in Mg/m³: 11.370
Distance to the lowest polymorph of the same formula in eV/atom: 0.6772
SG: No. 12

=====

Material: Er2ZrH
Method: DFT, PBE-GGA
State: relaxed

Lattice parameters (Å, degrees): 3.3098 3.3098 9.2095 79.65 79.65 60.00
With the nearest neighbours (Å) after each atom.
Positions (direct):
H (0.5000, 0.5000, 0.5000)  6 Er 2.34
Zr (0.0000, 0.0000, 0.0000)  2 Er 3.15, 6 Zr 3.31
Er (0.1166, 0.1166, 0.6503)  3 H 2.34
Er (0.8834, 0.8834, 0.3497)  3 H 2.34

ρ in Mg/m³: 8.291
Distance to the lowest polymorph of the same formula in eV/atom: 0.0000
SG: No. 166

=====

Material: Na3PuCu2S6
Method: DFT, PBE-GGA
State: relaxed

Lattice parameters (Å, degrees): 6.2584 6.2584 7.2447 102.45 102.45 111.05
With the nearest neighbours (Å) after each atom.
Positions (direct):
Na (0.1590, 0.8410, 0.5000)  6 S 2.79-2.97
Na (0.8410, 0.1590, 0.5000)  6 S 2.79-2.97
Na (0.5000, 0.5000, 0.5000)  6 S 2.91-3.21
Pu (0.0000, 0.0000, 0.0000)  6 S 2.56-2.82
Cu (0.3268, 0.6732, 0.0000)  4 S 2.32-2.35
Cu (0.6732, 0.3268, 0.0000)  4 S 2.32-2.35
S (0.9768, 0.6160, 0.7651)  1 Cu 2.32, 1 Pu 2.56
S (0.7067, 0.7067, 0.1760)  2 Cu 2.35
S (0.0232, 0.3840, 0.2349)  1 Cu 2.32, 1 Pu 2.56
S (0.6160, 0.9768, 0.7651)  1 Cu 2.32, 1 Pu 2.56
S (0.2933, 0.2933, 0.8240)  2 Cu 2.35
S (0.3840, 0.0232, 0.2349)  1 Cu 2.32, 1 Pu 2.56

Uncorrected formation energy in eV per atom: -0.806
ρ in Mg/m³: 4.289
SG: No. 12

=====

Material: SrCuTe2
Method: DFT, PBE-GGA
State: relaxed

Lattice parameters (Å, degrees): 5.4074 5.4074 5.4074 60.00 60.00 60.00
With the nearest neighbours (Å) after each atom.
Positions (direct):
Cu (0.5000, 0.5000, 0.5000)  4 Sr 3.31, 4 Te 3.31
Sr (0.7500, 0.7500, 0.7500)  4 Cu 3.31, 4 Te 3.31
Te (0.0000, 0.0000, 0.0000)  4 Te 3.31, 4 Sr 3.31
Te (0.2500, 0.2500, 0.2500)  4 Te 3.31, 4 Cu 3.31

Uncorrected formation energy in eV per atom: -0.189
ρ in Mg/m³: 6.036
SG: No. 216

=====

Material: NaBeTeN2
Method: DFT, PBE-GGA
State: relaxed

Lattice parameters (Å, degrees): 4.2610 4.2610 6.3347 90.00 90.00 90.00
With the nearest neighbours (Å) after each atom.
Positions (direct):
Na (0.0000, 0.0000, 0.0000)  4 N 2.13
Te (0.0000, 0.0000, 0.5000)  4 Be 3.01, 2 Na 3.17
Be (0.5000, 0.5000, 0.5000)  4 Te 3.01
N (0.0000, 0.5000, 0.0000)  2 Na 2.13
N (0.5000, 0.0000, 0.0000)  2 Na 2.13

Uncorrected formation energy in eV per atom: 2.123
ρ in Mg/m³: 2.709
Distance to the lowest polymorph of the same formula in eV/atom: 0.9379
SG: No. 123

=====

Material: In2NiMo
Method: DFT, PBE-GGA
State: relaxed

Lattice parameters (Å, degrees): 4.9655 4.9655 4.9655 130.31 130.31 72.91
With the nearest neighbours (Å) after each atom.
Positions (direct):
In (0.0000, 0.0000, 0.0000)  4 Mo 2.89, 4 Ni 2.89, 4 In 2.95
In (0.5000, 0.5000, 0.0000)  4 Mo 2.89, 4 Ni 2.89, 4 In 2.95
Mo (0.2500, 0.7500, 0.5000)  8 In 2.89, 4 Ni 2.95
Ni (0.7500, 0.2500, 0.5000)  8 In 2.89, 4 Mo 2.95

ρ in Mg/m³: 9.177
Distance to the lowest polymorph of the same formula in eV/atom: 0.1731
SG: No. 139

=====

Material: LiSn2GeTe4
Method: DFT, PBE-GGA
State: relaxed

Lattice parameters (Å, degrees): 4.3020 7.5138 7.5390 70.93 90.00 90.00
With the nearest neighbours (Å) after each atom.
Positions (direct):
Li (0.0000, 0.5000, 0.5000)  6 Te 2.99-3.00
Sn (0.0000, 0.0000, 0.0000)  6 Te 3.13-3.14
Sn (0.5000, 0.0000, 0.5000)  6 Te 3.14
Ge (0.5000, 0.5000, 0.0000)  6 Te 3.00
Te (0.0000, 0.7324, 0.7550)  1 Li 2.99, 2 Ge 3.00, 3 Sn 3.14
Te (0.0000, 0.2676, 0.2450)  1 Li 2.99, 2 Ge 3.00, 3 Sn 3.14
Te (0.5000, 0.7342, 0.2541)  1 Ge 3.00, 2 Li 3.00, 3 Sn 3.13-3.14
Te (0.5000, 0.2658, 0.7459)  1 Ge 3.00, 2 Li 3.00, 3 Sn 3.13-3.14

Uncorrected formation energy in eV per atom: -0.340
ρ in Mg/m³: 5.966
SG: No. 10

=====

Material: TiGa3Sb
Method: DFT, PBE-GGA
State: relaxed

Lattice parameters (Å, degrees): 5.0034 5.0034 5.0034 90.00 90.00 90.00
With the nearest neighbours (Å) after each atom.
Positions (direct):
Sb (0.5000, 0.5000, 0.5000)  12 Ga 3.54
Ga (0.0000, 0.5000, 0.0000)  2 Ti 2.50
Ga (0.0000, 0.0000, 0.5000)  2 Ti 2.50
Ga (0.5000, 0.0000, 0.0000)  2 Ti 2.50
Ti (0.0000, 0.0000, 0.0000)  6 Ga 2.50

Uncorrected formation energy in eV per atom: 0.467
ρ in Mg/m³: 5.022
Distance to the lowest polymorph of the same formula in eV/atom: 0.0000
SG: No. 221

=====

Material: ReRhSe2
Method: DFT, PBE-GGA
State: relaxed

Lattice parameters (Å, degrees): 5.8287 5.8287 2.6850 62.61 62.61 91.60
With the nearest neighbours (Å) after each atom.
Positions (direct):
Re (0.5000, 0.0000, 0.5000)  4 Se 2.59, 2 Re 2.68
Rh (0.0000, 0.5000, 0.5000)  4 Se 2.59, 2 Rh 2.68
Se (0.0000, 0.0000, 0.0000)  2 Rh 2.59, 2 Re 2.59, 2 Se 2.68
Se (0.5000, 0.5000, 0.0000)  2 Re 2.59, 2 Rh 2.59, 2 Se 2.68

Uncorrected formation energy in eV per atom: 0.519
ρ in Mg/m³: 10.836
Distance to the lowest polymorph of the same formula in eV/atom: 0.4884
SG: No. 65

=====

Material: AlBrCl2
Method: DFT, PBE-GGA
State: relaxed

Lattice parameters (Å, degrees): 8.4942 8.4942 6.5530 49.60 49.60 90.00
With the nearest neighbours (Å) after each atom.
Positions (direct):
Al (0.5000, 0.5000, 0.0000)  4 Cl 2.42, 2 Br 2.62
Al (0.2500, 0.7500, 0.5000)  4 Cl 2.42, 2 Br 2.62
Br (0.0000, 0.0000, 0.0000)  2 Al 2.62
Br (0.7500, 0.2500, 0.5000)  2 Al 2.62
Cl (0.4877, 0.1250, 0.2500)  2 Al 2.42
Cl (0.2623, 0.6250, 0.2500)  2 Al 2.42
Cl (0.3750, 0.5123, 0.7500)  2 Al 2.42
Cl (0.8750, 0.7377, 0.7500)  2 Al 2.42

Uncorrected formation energy in eV per atom: -0.850
ρ in Mg/m³: 3.123
Distance to the lowest polymorph of the same formula in eV/atom: 0.4940
SG: No. 122

=====

Material: Sc3InF
Method: DFT, PBE-GGA
State: relaxed

Lattice parameters (Å, degrees): 5.4368 5.4368 5.4368 90.00 90.00 90.00
With the nearest neighbours (Å) after each atom.
Positions (direct):
Sc (0.0000, 0.5000, 0.0000)  2 In 2.72
Sc (0.0000, 0.0000, 0.5000)  2 In 2.72
Sc (0.5000, 0.0000, 0.0000)  2 In 2.72
F (0.5000, 0.5000, 0.5000)  12 Sc 3.84
In (0.0000, 0.0000, 0.0000)  6 Sc 2.72

Uncorrected formation energy in eV per atom: 0.253
ρ in Mg/m³: 2.776
Distance to the lowest polymorph of the same formula in eV/atom: 1.2938
SG: No. 221

=====

Material: HSe3Br
Method: DFT, PBE-GGA
State: relaxed

Lattice parameters (Å, degrees): 5.2517 5.2517 5.2517 90.00 90.00 90.00
With the nearest neighbours (Å) after each atom.
Positions (direct):
H (0.5000, 0.5000, 0.5000)  12 Se 3.71
Se (0.0000, 0.5000, 0.0000)  2 Br 2.63
Se (0.0000, 0.0000, 0.5000)  2 Br 2.63
Se (0.5000, 0.0000, 0.0000)  2 Br 2.63
Br (0.0000, 0.0000, 0.0000)  6 Se 2.63

ρ in Mg/m³: 3.643
Distance to the lowest polymorph of the same formula in eV/atom: 0.5120
SG: No. 221

=====

Material: CsBPCl2
Method: DFT, PBE-GGA
State: relaxed

Lattice parameters (Å, degrees): 5.9585 5.9585 3.5727 90.00 90.00 90.00
With the nearest neighbours (Å) after each atom.
Positions (direct):
Cs (0.5000, 0.5000, 0.5000)  8 Cl 3.47, 2 Cs 3.57
P (0.0000, 0.0000, 0.5000)  2 B 1.79
B (0.0000, 0.0000, 0.0000)  2 P 1.79
Cl (0.0000, 0.5000, 0.0000)  2 B 2.98
Cl (0.5000, 0.0000, 0.0000)  2 B 2.98

Uncorrected formation energy in eV per atom: -0.133
ρ in Mg/m³: 3.215
SG: No. 123

=====

Material: InTc2Os
Method: DFT, PBE-GGA
State: relaxed

Lattice parameters (Å, degrees): 4.9065 4.9065 4.8387 78.86 78.86 34.16
With the nearest neighbours (Å) after each atom.
Positions (direct):
In (0.7500, 0.7500, 0.7500)  4 Os 2.82, 6 Tc 2.83-2.95, 2 In 2.88
Os (0.2500, 0.2500, 0.2500)  6 Tc 2.68-2.88, 4 In 2.82, 2 Os 2.88
Tc (0.9865, 0.9865, 0.0310)  4 Tc 2.62-2.88, 3 Os 2.68-2.88, 1 In 2.83
Tc (0.5135, 0.5135, 0.4690)  4 Tc 2.62-2.88, 3 Os 2.68-2.88, 1 In 2.83

ρ in Mg/m³: 12.987
SG: No. 12
Calculated total energy in eV per atom: -8.342

=====

Material: ZnHPd2Au
Method: DFT, PBE-GGA
State: relaxed

Lattice parameters (Å, degrees): 3.9676 3.9676 4.1319 90.00 90.00 90.00
With the nearest neighbours (Å) after each atom.
Positions (direct):
H (0.0000, 0.0000, 0.0000)  4 Pd 1.98, 2 Zn 2.07
Zn (0.0000, 0.0000, 0.5000)  2 H 2.07
Au (0.5000, 0.5000, 0.5000)  4 Zn 2.81, 8 Pd 2.86
Pd (0.0000, 0.5000, 0.0000)  2 H 1.98
Pd (0.5000, 0.0000, 0.0000)  2 H 1.98

ρ in Mg/m³: 12.158
Distance to the lowest polymorph of the same formula in eV/atom: 0.0350
SG: No. 123

=====

Material: Ce3PrPt4
Method: DFT, PBE-GGA
State: relaxed

Lattice parameters (Å, degrees): 3.8189 6.7797 8.7499 112.79 102.60 90.00
With the nearest neighbours (Å) after each atom.
Positions (direct):
Ce (0.0000, 0.5000, 0.0000)  8 Pt 3.14
Ce (0.2021, 0.2021, 0.4043)  6 Pt 2.94-2.97
Ce (0.7979, 0.7979, 0.5957)  6 Pt 2.94-2.97
Pr (0.5000, 0.0000, 0.0000)  4 Pt 2.89
Pt (0.3675, 0.5722, 0.7349)  1 Pt 2.78, 1 Pr 2.89, 3 Ce 2.94-2.97
Pt (0.6325, 0.4278, 0.2651)  1 Pt 2.78, 1 Pr 2.89, 3 Ce 2.94-2.97
Pt (0.6325, 0.8371, 0.2650)  1 Pt 2.78, 1 Pr 2.89, 3 Ce 2.94-2.97
Pt (0.3675, 0.1629, 0.7350)  1 Pt 2.78, 1 Pr 2.89, 3 Ce 2.94-2.97

ρ in Mg/m³: 10.978
Distance to the lowest polymorph of the same formula in eV/atom: 0.1694
SG: No. 71